10
Lattice="3.9684 0.0000 0.0000 0.0000 8.5591 -0.4000 -1.9842 -1.6292 9.3196" Properties=species:S:1:pos:R:3 comment="PBE Tb4RhBr5, optimized geometry" formation_energy_uncorrected_ev_per_atom=-1.44 total_energy_ev_per_atom=-4.865 pbc="T T T"
Tb 1.9842 0.1853 2.7405
Rh 1.9842 0.0000 0.0000
Br 0.0000 6.6287 3.0040
Tb 0.0000 6.7446 6.1791
Br 1.9842 4.2795 -0.2000
Br 1.9842 4.6221 5.9005
Tb 1.9842 5.0961 8.9556
Br 0.0000 2.3078 3.0191
Br 1.9842 0.3012 5.9156
Tb 0.0000 1.8338 -0.0359